No. 1
# TlRhS2, relaxed, DFT PBE
# Mass density   8.6 g cm⁻³
# V   72 Å³/f.u.
data_TlRhS2
_chemical_formula_sum 'Tl4 Rh4 S8'
_space_group_name_H-M_alt 'F m -3 m'
_space_group_IT_number 225
_space_group_name_Hall '-F 4 2 3'
_cell_length_a 6.605
_cell_length_b 6.605
_cell_length_c 6.605
_cell_angle_alpha 90.00
_cell_angle_beta 90.00
_cell_angle_gamma 90.00
loop_
_atom_site_label
_atom_site_fract_x
_atom_site_fract_y
_atom_site_fract_z
Tl1 0.000 0.000 0.000
Rh1 0.000 0.000 0.500
S1 0.250 0.250 0.250

No. 2
# TlRh2S3, relaxed, DFT PBE
# Mass density   7.0 g cm⁻³
# V   121 Å³/f.u.
data_TlRh2S3
_chemical_formula_sum 'Tl6 Rh12 S18'
_space_group_name_H-M_alt 'R -3 m'
_space_group_IT_number 166
_space_group_name_Hall '-R 3 2"'
_cell_length_a 6.8919
_cell_length_b 6.8919
_cell_length_c 17.6307
_cell_angle_alpha 90.00
_cell_angle_beta 90.00
_cell_angle_gamma 120.00
loop_
_atom_site_label
_atom_site_fract_x
_atom_site_fract_y
_atom_site_fract_z
Tl1 0.0000 0.0000 0.2065
Rh1 0.0000 0.0000 0.0000
Rh2 0.0000 0.5000 0.0000
S1 0.0011 0.5005 0.2613

E_tot per entry: -4.03, -5.19 eV per atom
Formation energy (no corrections) per entry: 0.463, -0.286 eV per atom